Crystalline PmGa2CuPt5 at its relaxed geometry. Source: the Alexandria database, functional PBE-GGA.

Cell and atoms, written as CIF:
```
data_PmGa2CuPt5
_chemical_formula_sum 'Pm1 Ga2 Cu1 Pt5'
_space_group_name_H-M_alt 'P 4/m m m'
_space_group_IT_number 123
_space_group_name_Hall '-P 4 2'
_cell_length_a 4.013
_cell_length_b 4.013
_cell_length_c 11.124
_cell_angle_alpha 90.00
_cell_angle_beta 90.00
_cell_angle_gamma 90.00
loop_
_atom_site_label
_atom_site_type_symbol
_atom_site_fract_x
_atom_site_fract_y
_atom_site_fract_z
_atom_site_occupancy
Pm1 Pm 0.000 0.000 0.000 1
Ga1 Ga 0.500 0.500 0.221 1
Cu1 Cu 0.000 0.000 0.500 1
Pt1 Pt 0.000 0.500 0.356 1
Pt2 Pt 0.500 0.500 0.000 1
```

Results
**Density**: 12.3 Mg/m³
**DOS(E_F)**: 0.412 states/eV/atom
**M_tot**: 0.000 μB/f.u.
**DFT formation energy**: -434.0 meV/atom